Entry 1:
Below is a geometry-optimized La6Sb2Te3I structure, with properties calculated at the PBE-GGA level.

a b c (Å): 20.050 4.603 9.205
angles (deg): 90.00 103.08 90.00
Space group C2/m (No. 12)
Inequivalent atoms, fractional coordinates:
La 0.003 0.000 0.265 x4
La 0.169 0.500 0.579 x4
La 0.173 0.500 0.091 x4
Sb 0.166 0.000 0.331 x4
Te 0.000 0.500 0.500 x2
Te 0.163 0.000 0.833 x4
I 0.000 0.500 0.000 x2

Results
formation energy (no corrections): -136.8 kJ/mol of atoms

---

Entry 2:
Below is a geometry-optimized La3SbTeI structure, with properties calculated at the PBE-GGA level.

a b c (Å): 9.411 4.462 11.427
angles (deg): 90.00 90.45 90.00
Space group P2_1/m (No. 11)
Inequivalent atoms, fractional coordinates:
La 0.127 0.250 0.142 x2
La 0.129 0.250 0.590 x2
La 0.369 0.750 0.873 x2
Sb 0.121 0.250 0.864 x2
Te 0.380 0.750 0.159 x2
I 0.372 0.750 0.585 x2

Results
formation energy (no corrections): -111.1 kJ/mol of atoms

---

Entry 3:
Below is a geometry-optimized La4Sb2TeI structure, with properties calculated at the PBE-GGA level.

a b c (Å): 7.986 4.616 8.008
angles (deg): 90.00 109.40 90.00
Space group P2/m (No. 10)
Inequivalent atoms, fractional coordinates:
La 0.231 0.000 0.236 x2
La 0.236 0.500 0.753 x2
Sb 0.000 0.000 0.500 x1
Sb 0.000 0.500 0.000 x1
Te 0.500 0.000 0.000 x1
I 0.500 0.500 0.500 x1

Results
formation energy (no corrections): -129.0 kJ/mol of atoms

---

Entry 4:
Below is a geometry-optimized La6Sb3Te2I structure, with properties calculated at the PBE-GGA level.

a b c (Å): 20.110 4.612 9.226
angles (deg): 90.00 103.11 90.00
Space group C2/m (No. 12)
Inequivalent atoms, fractional coordinates:
La 0.001 0.000 0.234 x4
La 0.166 0.500 0.088 x4
La 0.174 0.500 0.582 x4
Sb 0.000 0.500 0.000 x2
Sb 0.164 0.000 0.334 x4
Te 0.166 0.000 0.832 x4
I 0.000 0.500 0.500 x2

Results
formation energy (no corrections): -133.7 kJ/mol of atoms

---

Entry 5:
Below is a geometry-optimized LaSbTe2I structure, with properties calculated at the PBE-GGA level.

a b c (Å): 5.847 5.847 5.708
angles (deg): 90.00 90.00 90.00
Space group P4/mmm (No. 123)
Inequivalent atoms, fractional coordinates:
La 0.000 0.000 0.000 x1
Sb 0.500 0.500 0.500 x1
Te 0.000 0.500 0.500 x2
I 0.500 0.500 0.000 x1

Results
formation energy (no corrections): -22.1 kJ/mol of atoms
relative energy among the computed polymorphs: 0.0 meV/atom

---

Entry 6:
Below is a geometry-optimized LaSbTe2I structure, with properties calculated at the PBE-GGA level.

a b c (Å): 5.749 5.749 5.765
angles (deg): 90.00 90.00 90.00
Space group P4/mmm (No. 123)
Inequivalent atoms, fractional coordinates:
La 0.000 0.000 0.000 x1
Sb 0.500 0.500 0.000 x1
Te 0.000 0.500 0.500 x2
I 0.500 0.500 0.500 x1

Results
formation energy (no corrections): 18.5 kJ/mol of atoms
relative energy among the computed polymorphs: 420.4 meV/atom